# 1
# Ga3IF, relaxed, DFT GGA-PBEsol
data_Ga3IF
_chemical_formula_sum 'Ga3 I1 F1'
_cell_length_a 4.905
_cell_length_b 4.905
_cell_length_c 4.905
_cell_angle_alpha 90.00
_cell_angle_beta 90.00
_cell_angle_gamma 90.00
_symmetry_space_group_name_H-M 'P 1'
_symmetry_Int_Tables_number 1
loop_
_symmetry_equiv_pos_as_xyz
'x,y,z'
loop_
_atom_site_label
_atom_site_fract_x
_atom_site_fract_y
_atom_site_fract_z
I1 0.500 0.500 0.500
Ga1 0.000 0.500 0.000
Ga2 0.000 0.000 0.500
Ga3 0.500 0.000 0.000
F1 0.000 0.000 0.000
# Theoretical density: 5.0 Mg/m³
# Total magnetic moment: 0.0 Bohr magnetons per cell
# Electronic total energy: -3.1699 eV per atom
# Energy relative to the elements, uncorrected: -427 meV/atom

---

# 2
# ZrIr3, relaxed, DFT GGA-PBEsol
data_ZrIr3
_chemical_formula_sum 'Zr2 Ir6'
_cell_length_a 4.513
_cell_length_b 5.597
_cell_length_c 5.597
_cell_angle_alpha 120.00
_cell_angle_beta 90.00
_cell_angle_gamma 90.00
_symmetry_space_group_name_H-M 'P 1'
_symmetry_Int_Tables_number 1
loop_
_symmetry_equiv_pos_as_xyz
'x,y,z'
loop_
_atom_site_label
_atom_site_fract_x
_atom_site_fract_y
_atom_site_fract_z
Ir1 0.750 0.162 0.324
Ir2 0.250 0.838 0.676
Ir3 0.750 0.162 0.838
Ir4 0.250 0.838 0.162
Ir5 0.750 0.676 0.838
Ir6 0.250 0.324 0.162
Zr1 0.750 0.667 0.333
Zr2 0.250 0.333 0.667
# Theoretical density: 18.1 Mg/m³
# Total magnetic moment: 0.0 Bohr magnetons per cell
# Electronic total energy: -10.3210 eV per atom
# E_form: -2.724 eV/f.u.

---

# 3
# BiPbSe2Br, relaxed, DFT GGA-PBEsol
data_BiPbSe2Br
_chemical_formula_sum 'Bi1 Pb1 Se2 Br1'
_cell_length_a 5.403
_cell_length_b 5.518
_cell_length_c 5.518
_cell_angle_alpha 90.00
_cell_angle_beta 90.00
_cell_angle_gamma 90.00
_symmetry_space_group_name_H-M 'P 1'
_symmetry_Int_Tables_number 1
loop_
_symmetry_equiv_pos_as_xyz
'x,y,z'
loop_
_atom_site_label
_atom_site_fract_x
_atom_site_fract_y
_atom_site_fract_z
Pb1 0.500 0.500 0.500
Se1 0.000 0.000 0.500
Se2 0.000 0.500 0.000
Bi1 0.000 0.000 0.000
Br1 0.500 0.000 0.000
# Theoretical density: 6.6 Mg/m³
# Total magnetic moment: 0.0 Bohr magnetons per cell
# Electronic total energy: -3.5818 eV per atom
# Energy relative to the elements, uncorrected: -11 meV/atom

---

Repeat the third record exactly.
# BiPbSe2Br, relaxed, DFT GGA-PBEsol
data_BiPbSe2Br
_chemical_formula_sum 'Bi1 Pb1 Se2 Br1'
_cell_length_a 5.403
_cell_length_b 5.518
_cell_length_c 5.518
_cell_angle_alpha 90.00
_cell_angle_beta 90.00
_cell_angle_gamma 90.00
_symmetry_space_group_name_H-M 'P 1'
_symmetry_Int_Tables_number 1
loop_
_symmetry_equiv_pos_as_xyz
'x,y,z'
loop_
_atom_site_label
_atom_site_fract_x
_atom_site_fract_y
_atom_site_fract_z
Pb1 0.500 0.500 0.500
Se1 0.000 0.000 0.500
Se2 0.000 0.500 0.000
Bi1 0.000 0.000 0.000
Br1 0.500 0.000 0.000
# Theoretical density: 6.6 Mg/m³
# Total magnetic moment: 0.0 Bohr magnetons per cell
# Electronic total energy: -3.5818 eV per atom
# Energy relative to the elements, uncorrected: -11 meV/atom